CdTc3Pb after structural relaxation, computed with PBE.

The space group is Pm-3m (No. 221) and the conventional cell measures 4.969, 4.969 and 4.969 Å, with angles of 90.00, 90.00 and 90.00 degrees. Symmetry generates all atoms from Cd at (0.000, 0.000, 0.000), Tc at (0.000, 0.000, 0.500) and Pb at (0.500, 0.500, 0.500).

The crystal system is cubic. For the formation energy, the calculation gives 2183 meV/atom. The raw total energy comes out at -24.806 eV per cell.